# Nd2Sm4Tm3, optimized geometry, DFT PBE
data_Nd2Sm4Tm3
_symmetry_space_group_name_H-M 'P 3 m 1'
_symmetry_Int_Tables_number 156
_cell_length_a 3.6136
_cell_length_b 3.6136
_cell_length_c 26.6314
_cell_angle_alpha 90.00
_cell_angle_beta 90.00
_cell_angle_gamma 120.00
loop_
_symmetry_equiv_pos_as_xyz
'x,y,z'
'-y,x-y,z'
'-x+y,-x,z'
'-y,-x,z'
'-x+y,y,z'
'x,x-y,z'
loop_
_atom_site_label
_atom_site_type_symbol
_atom_site_fract_x
_atom_site_fract_y
_atom_site_fract_z
Nd1 Nd 0.0000 0.0000 0.0000
Nd2 Nd 0.0000 0.0000 0.2142
Sm1 Sm 0.0000 0.0000 0.3492
Sm2 Sm 0.0000 0.0000 0.5605
Sm3 Sm 0.3333 0.6667 0.6725
Sm4 Sm 0.3333 0.6667 0.8859
Tm1 Tm 0.0000 0.0000 0.7794
Tm2 Tm 0.3333 0.6667 0.1087
Tm3 Tm 0.3333 0.6667 0.4534
# DOS(E_F), states/eV/atom: 1.76
# Electronic total energy, Ry per atom: -0.338
# Size of the total moment, μB/atom: 0.0012
# Energy of formation, eV/atom: 0.050


# Nd7Sm2Tm3, optimized geometry, DFT PBE
data_Nd7Sm2Tm3
_symmetry_space_group_name_H-M 'P 1 2/m 1'
_symmetry_Int_Tables_number 10
_cell_length_a 5.888
_cell_length_b 3.639
_cell_length_c 19.081
_cell_angle_alpha 90.00
_cell_angle_beta 93.95
_cell_angle_gamma 90.00
loop_
_symmetry_equiv_pos_as_xyz
'x,y,z'
'-x,-y,-z'
'-x,y,-z'
'x,-y,z'
loop_
_atom_site_label
_atom_site_type_symbol
_atom_site_fract_x
_atom_site_fract_y
_atom_site_fract_z
Nd1 Nd 0.000 0.000 0.000
Nd2 Nd 0.173 0.500 0.182
Nd3 Nd 0.259 0.500 0.535
Nd4 Nd 0.330 0.000 0.856
Sm1 Sm 0.297 0.500 0.702
Tm1 Tm 0.216 0.000 0.369
Tm2 Tm 0.500 0.500 0.000
# DOS(E_F), states/eV/atom: 1.38
# Electronic total energy, Ry per atom: -0.338
# Size of the total moment, μB/atom: 0.0000
# Energy of formation, eV/atom: 0.089


# Nd6Sm3Tm2, optimized geometry, DFT PBE
data_Nd6Sm3Tm2
_symmetry_space_group_name_H-M 'R -3 m'
_symmetry_Int_Tables_number 166
_symmetry_space_group_name_Hall '-R 3 2"'
_cell_length_a 3.6329
_cell_length_b 3.6329
_cell_length_c 97.6122
_cell_angle_alpha 90.00
_cell_angle_beta 90.00
_cell_angle_gamma 120.00
loop_
_atom_site_label
_atom_site_type_symbol
_atom_site_fract_x
_atom_site_fract_y
_atom_site_fract_z
Nd1 Nd 0.0000 0.0000 0.0919
Nd2 Nd 0.0000 0.0000 0.1823
Nd3 Nd 0.0000 0.0000 0.3640
Sm1 Sm 0.0000 0.0000 0.0000
Sm2 Sm 0.0000 0.0000 0.2721
Tm1 Tm 0.0000 0.0000 0.4548
# DOS(E_F), states/eV/atom: 1.25
# Electronic total energy, Ry per atom: -0.344
# Size of the total moment, μB/atom: 0.0000
# Energy of formation, eV/atom: 0.016


# Nd4SmTm10, optimized geometry, DFT PBE
data_Nd4SmTm10
_symmetry_space_group_name_H-M 'I 4/m'
_symmetry_Int_Tables_number 87
_symmetry_space_group_name_Hall '-I 4'
_cell_length_a 9.686
_cell_length_b 9.686
_cell_length_c 10.558
_cell_angle_alpha 90.00
_cell_angle_beta 90.00
_cell_angle_gamma 90.00
loop_
_atom_site_label
_atom_site_type_symbol
_atom_site_fract_x
_atom_site_fract_y
_atom_site_fract_z
Nd1 Nd 0.070 0.664 0.000
Sm1 Sm 0.000 0.000 0.000
Tm1 Tm 0.000 0.500 0.250
Tm2 Tm 0.113 0.789 0.340
# DOS(E_F), states/eV/atom: 1.59
# Electronic total energy, Ry per atom: -0.309
# Size of the total moment, μB/atom: 0.0000
# Energy of formation, eV/atom: 0.363


- The highest electronic total energy belongs to which entry?
  Nd4SmTm10